Entry 1:
Density functional theory data (PBE) for a geometry-optimized Ba2Te2Se structure.

electronic total energy = -4.00 eV/atom
magnetic moment = 0.0 μB/cell
raw formation energy = -1277 meV per atom

```
data_Ba2Te2Se
_chemical_formula_sum 'Ba4 Te4 Se2'
_symmetry_space_group_name_H-M 'P 4/m b m'
_symmetry_Int_Tables_number 127
_symmetry_space_group_name_Hall '-P 4 2ab'
_cell_length_a 8.839
_cell_length_b 8.839
_cell_length_c 5.193
_cell_angle_alpha 90.00
_cell_angle_beta 90.00
_cell_angle_gamma 90.00
loop_
_atom_site_label
_atom_site_type_symbol
_atom_site_fract_x
_atom_site_fract_y
_atom_site_fract_z
Ba1 Ba 0.183 0.317 0.000
Te1 Te 0.112 0.612 0.500
Se1 Se 0.000 0.000 0.000
```


Entry 2:
Density functional theory data (PBE) for a geometry-optimized BaTeSe2 structure.

electronic total energy = -3.68 eV/atom
magnetic moment = 0.0 μB/cell
raw formation energy = -672 meV per atom

```
data_BaTeSe2
_chemical_formula_sum 'Ba1 Te1 Se2'
_symmetry_space_group_name_H-M 'P 4/m m m'
_symmetry_Int_Tables_number 123
_symmetry_space_group_name_Hall '-P 4 2'
_cell_length_a 4.462
_cell_length_b 4.462
_cell_length_c 6.906
_cell_angle_alpha 90.00
_cell_angle_beta 90.00
_cell_angle_gamma 90.00
loop_
_atom_site_label
_atom_site_type_symbol
_atom_site_fract_x
_atom_site_fract_y
_atom_site_fract_z
Ba1 Ba 0.000 0.000 0.000
Te1 Te 0.000 0.000 0.500
Se1 Se 0.500 0.500 0.176
```


Entry 3:
Density functional theory data (PBE) for a geometry-optimized Ba5TeSe6 structure.

electronic total energy = -4.37 eV/atom
magnetic moment = 4.1 μB/cell
raw formation energy = -1568 meV per atom

```
data_Ba5TeSe6
_chemical_formula_sum 'Ba10 Te2 Se12'
_symmetry_space_group_name_H-M 'C 1 2/m 1'
_symmetry_Int_Tables_number 12
_symmetry_space_group_name_Hall '-C 2y'
_cell_length_a 8.088
_cell_length_b 14.206
_cell_length_c 8.033
_cell_angle_alpha 90.00
_cell_angle_beta 106.89
_cell_angle_gamma 90.00
loop_
_atom_site_label
_atom_site_type_symbol
_atom_site_fract_x
_atom_site_fract_y
_atom_site_fract_z
Ba1 Ba 0.000 0.000 0.000
Ba2 Ba 0.000 0.175 0.500
Ba3 Ba 0.000 0.338 0.000
Te1 Te 0.000 0.500 0.500
Se1 Se 0.232 0.500 0.282
Se2 Se 0.234 0.171 0.235
```


Entry 4:
Density functional theory data (PBE) for a geometry-optimized Ba2TeSe structure.

electronic total energy = -4.16 eV/atom
E above lowest polymorph = 367.7 meV/atom
magnetic moment = 0.0 μB/cell
raw formation energy = -1542 meV per atom

```
data_Ba2TeSe
_chemical_formula_sum 'Ba4 Te2 Se2'
_symmetry_space_group_name_H-M 'I -4 m 2'
_symmetry_Int_Tables_number 119
_symmetry_space_group_name_Hall 'I -4 -2'
_cell_length_a 4.744
_cell_length_b 4.744
_cell_length_c 14.128
_cell_angle_alpha 90.00
_cell_angle_beta 90.00
_cell_angle_gamma 90.00
loop_
_atom_site_label
_atom_site_type_symbol
_atom_site_fract_x
_atom_site_fract_y
_atom_site_fract_z
Ba1 Ba 0.000 0.000 0.000
Ba2 Ba 0.000 0.500 0.250
Te1 Te 0.000 0.000 0.500
Se1 Se 0.000 0.500 0.750
```


Entry 5:
Density functional theory data (PBE) for a geometry-optimized Ba2TeSe structure.

electronic total energy = -4.51 eV/atom
E above lowest polymorph = 21.5 meV/atom
magnetic moment = 0.0 μB/cell
raw formation energy = -1889 meV per atom

```
data_Ba2TeSe
_chemical_formula_sum 'Ba2 Te1 Se1'
_symmetry_space_group_name_H-M 'P 4/m m m'
_symmetry_Int_Tables_number 123
_symmetry_space_group_name_Hall '-P 4 2'
_cell_length_a 4.879
_cell_length_b 4.879
_cell_length_c 6.904
_cell_angle_alpha 90.00
_cell_angle_beta 90.00
_cell_angle_gamma 90.00
loop_
_atom_site_label
_atom_site_type_symbol
_atom_site_fract_x
_atom_site_fract_y
_atom_site_fract_z
Ba1 Ba 0.000 0.000 0.000
Ba2 Ba 0.500 0.500 0.500
Te1 Te 0.000 0.000 0.500
Se1 Se 0.500 0.500 0.000
```


Entry 6:
Density functional theory data (PBE) for a geometry-optimized BaTeSe2 structure.

electronic total energy = -3.97 eV/atom
magnetic moment = 0.0 μB/cell
raw formation energy = -957 meV per atom

```
data_BaTeSe2
_chemical_formula_sum 'Ba1 Te1 Se2'
_symmetry_space_group_name_H-M 'P 1 2/m 1'
_symmetry_Int_Tables_number 10
_symmetry_space_group_name_Hall '-P 2y'
_cell_length_a 4.534
_cell_length_b 4.037
_cell_length_c 7.226
_cell_angle_alpha 90.00
_cell_angle_beta 104.86
_cell_angle_gamma 90.00
loop_
_atom_site_label
_atom_site_type_symbol
_atom_site_fract_x
_atom_site_fract_y
_atom_site_fract_z
Ba1 Ba 0.000 0.000 0.000
Te1 Te 0.500 0.000 0.500
Se1 Se 0.413 0.500 0.760
```


Entry 7:
Density functional theory data (PBE) for a geometry-optimized BaTeSe2 structure.

electronic total energy = -3.38 eV/atom
magnetic moment = 0.0 μB/cell
raw formation energy = -376 meV per atom

```
data_BaTeSe2
_chemical_formula_sum 'Ba4 Te4 Se8'
_symmetry_space_group_name_H-M 'F -4 3 m'
_symmetry_Int_Tables_number 216
_symmetry_space_group_name_Hall 'F -4 2 3'
_cell_length_a 7.854
_cell_length_b 7.854
_cell_length_c 7.854
_cell_angle_alpha 90.00
_cell_angle_beta 90.00
_cell_angle_gamma 90.00
loop_
_atom_site_label
_atom_site_type_symbol
_atom_site_fract_x
_atom_site_fract_y
_atom_site_fract_z
Ba1 Ba 0.000 0.000 0.000
Te1 Te 0.250 0.250 0.250
Se1 Se 0.000 0.000 0.500
Se2 Se 0.250 0.250 0.750
```


Entry 8:
Density functional theory data (PBE) for a geometry-optimized BaTeSe3 structure.

electronic total energy = -3.93 eV/atom
magnetic moment = 0.0 μB/cell
raw formation energy = -826 meV per atom

```
data_BaTeSe3
_chemical_formula_sum 'Ba2 Te2 Se6'
_symmetry_space_group_name_H-M 'P 1 21/m 1'
_symmetry_Int_Tables_number 11
_symmetry_space_group_name_Hall '-P 2yb'
_cell_length_a 6.201
_cell_length_b 7.312
_cell_length_c 7.892
_cell_angle_alpha 90.00
_cell_angle_beta 110.63
_cell_angle_gamma 90.00
loop_
_atom_site_label
_atom_site_type_symbol
_atom_site_fract_x
_atom_site_fract_y
_atom_site_fract_z
Ba1 Ba 0.176 0.250 0.303
Te1 Te 0.493 0.250 0.878
Se1 Se 0.115 0.750 0.152
Se2 Se 0.321 0.526 0.678
```


Entry 9:
Density functional theory data (PBE) for a geometry-optimized BaTeSe2 structure.

electronic total energy = -3.98 eV/atom
magnetic moment = 0.0 μB/cell
raw formation energy = -968 meV per atom

```
data_BaTeSe2
_chemical_formula_sum 'Ba2 Te2 Se4'
_symmetry_space_group_name_H-M 'P 1'
_symmetry_Int_Tables_number 1
_symmetry_space_group_name_Hall 'P 1'
_cell_length_a 6.288
_cell_length_b 6.369
_cell_length_c 8.050
_cell_angle_alpha 66.94
_cell_angle_beta 88.78
_cell_angle_gamma 89.90
loop_
_atom_site_label
_atom_site_type_symbol
_atom_site_fract_x
_atom_site_fract_y
_atom_site_fract_z
Ba1 Ba 0.000 0.000 0.000
Ba2 Ba 0.497 0.507 0.987
Te1 Te 0.026 0.467 0.506
Te2 Te 0.470 0.472 0.479
Se1 Se 0.000 0.584 0.807
Se2 Se 0.498 0.894 0.184
Se3 Se 0.505 0.092 0.827
Se4 Se 0.991 0.424 0.160
```


Entry 10:
Density functional theory data (PBE) for a geometry-optimized Ba3Te2Se structure.

electronic total energy = -4.45 eV/atom
magnetic moment = 0.0 μB/cell
raw formation energy = -1863 meV per atom

```
data_Ba3Te2Se
_chemical_formula_sum 'Ba6 Te4 Se2'
_symmetry_space_group_name_H-M 'I m m m'
_symmetry_Int_Tables_number 71
_symmetry_space_group_name_Hall '-I 2 2'
_cell_length_a 4.901
_cell_length_b 6.973
_cell_length_c 14.774
_cell_angle_alpha 90.00
_cell_angle_beta 90.00
_cell_angle_gamma 90.00
loop_
_atom_site_label
_atom_site_type_symbol
_atom_site_fract_x
_atom_site_fract_y
_atom_site_fract_z
Ba1 Ba 0.000 0.000 0.000
Ba2 Ba 0.000 0.000 0.343
Te1 Te 0.000 0.500 0.331
Se1 Se 0.000 0.500 0.000
```


Entry 11:
Density functional theory data (PBE) for a geometry-optimized Ba5TeSe8 structure.

electronic total energy = -4.17 eV/atom
magnetic moment = 0.0 μB/cell
raw formation energy = -1270 meV per atom

```
data_Ba5TeSe8
_chemical_formula_sum 'Ba10 Te2 Se16'
_symmetry_space_group_name_H-M 'I -4'
_symmetry_Int_Tables_number 82
_symmetry_space_group_name_Hall 'I -4'
_cell_length_a 9.486
_cell_length_b 9.486
_cell_length_c 10.111
_cell_angle_alpha 90.00
_cell_angle_beta 90.00
_cell_angle_gamma 90.00
loop_
_atom_site_label
_atom_site_type_symbol
_atom_site_fract_x
_atom_site_fract_y
_atom_site_fract_z
Ba1 Ba 0.000 0.000 0.000
Ba2 Ba 0.126 0.255 0.379
Te1 Te 0.000 0.500 0.750
Se1 Se 0.073 0.206 0.708
Se2 Se 0.095 0.326 0.057
```


Entry 12:
Density functional theory data (PBE) for a geometry-optimized Ba2TeSe structure.

electronic total energy = -4.45 eV/atom
E above lowest polymorph = 82.1 meV/atom
magnetic moment = 0.0 μB/cell
raw formation energy = -1828 meV per atom

```
data_Ba2TeSe
_chemical_formula_sum 'Ba6 Te3 Se3'
_symmetry_space_group_name_H-M 'R 3 m'
_symmetry_Int_Tables_number 160
_symmetry_space_group_name_Hall 'R 3 -2"'
_cell_length_a 4.7489
_cell_length_b 4.7489
_cell_length_c 25.1090
_cell_angle_alpha 90.00
_cell_angle_beta 90.00
_cell_angle_gamma 120.00
loop_
_atom_site_label
_atom_site_type_symbol
_atom_site_fract_x
_atom_site_fract_y
_atom_site_fract_z
Ba1 Ba 0.0000 0.0000 0.0000
Ba2 Ba 0.0000 0.0000 0.1608
Te1 Te 0.0000 0.0000 0.5808
Se1 Se 0.0000 0.0000 0.4126
```


Please write out number 4 again, unchanged.
Density functional theory data (PBE) for a geometry-optimized Ba2TeSe structure.

electronic total energy = -4.16 eV/atom
E above lowest polymorph = 367.7 meV/atom
magnetic moment = 0.0 μB/cell
raw formation energy = -1542 meV per atom

```
data_Ba2TeSe
_chemical_formula_sum 'Ba4 Te2 Se2'
_symmetry_space_group_name_H-M 'I -4 m 2'
_symmetry_Int_Tables_number 119
_symmetry_space_group_name_Hall 'I -4 -2'
_cell_length_a 4.744
_cell_length_b 4.744
_cell_length_c 14.128
_cell_angle_alpha 90.00
_cell_angle_beta 90.00
_cell_angle_gamma 90.00
loop_
_atom_site_label
_atom_site_type_symbol
_atom_site_fract_x
_atom_site_fract_y
_atom_site_fract_z
Ba1 Ba 0.000 0.000 0.000
Ba2 Ba 0.000 0.500 0.250
Te1 Te 0.000 0.000 0.500
Se1 Se 0.000 0.500 0.750
```


Repeat the fifth record exactly.
Density functional theory data (PBE) for a geometry-optimized Ba2TeSe structure.

electronic total energy = -4.51 eV/atom
E above lowest polymorph = 21.5 meV/atom
magnetic moment = 0.0 μB/cell
raw formation energy = -1889 meV per atom

```
data_Ba2TeSe
_chemical_formula_sum 'Ba2 Te1 Se1'
_symmetry_space_group_name_H-M 'P 4/m m m'
_symmetry_Int_Tables_number 123
_symmetry_space_group_name_Hall '-P 4 2'
_cell_length_a 4.879
_cell_length_b 4.879
_cell_length_c 6.904
_cell_angle_alpha 90.00
_cell_angle_beta 90.00
_cell_angle_gamma 90.00
loop_
_atom_site_label
_atom_site_type_symbol
_atom_site_fract_x
_atom_site_fract_y
_atom_site_fract_z
Ba1 Ba 0.000 0.000 0.000
Ba2 Ba 0.500 0.500 0.500
Te1 Te 0.000 0.000 0.500
Se1 Se 0.500 0.500 0.000
```